The following is a PBE+U calculation of a geometry-optimized NiW3O structure, from Alexandria.

Cell lengths 4.142, 4.142, 4.142 Å; angles 90.00, 90.00, 90.00 degrees
Atoms (fractional coordinates):
Ni (0.000, 0.000, 0.000)
W (0.000, 0.500, 0.500)
W (0.500, 0.000, 0.500)
W (0.500, 0.500, 0.000)
O (0.500, 0.500, 0.500)

* offset from the most stable computed form: 0 meV per atom
* calculated total energy: -4.84 eV/atom